No. 1
Entry from the Alexandria database: a relaxed structure of PmGaSb (GGA-PBE).

Results
Raw formation energy in eV per atom: -0.29
Total moment in Bohr magnetons per cell: 0.00
Relative energy among the computed polymorphs in meV/atom: 260
Electronic total energy in eV/atom: -4.260
DOS(E_F) in states/eV per cell: 10.830
Crystal system: cubic

Cell: 7.1982 7.1982 7.1982 Å, 90.00 90.00 90.00°
With the nearest neighbours (Å) after each atom.
Space group F-43m (No. 216)
Symmetry-distinct sites (fractional):
Pm (0.0000, 0.0000, 0.0000) (multiplicity 4)  4 Sb 3.12, 4 Ga 3.12
Ga (0.2500, 0.2500, 0.7500) (multiplicity 4)  4 Pm 3.12
Sb (0.2500, 0.2500, 0.2500) (multiplicity 4)  4 Pm 3.12

---

No. 2
Entry from the Alexandria database: a relaxed structure of TbY6In (GGA-PBE).

Results
Total moment in Bohr magnetons per cell: 0.00
Relative energy among the computed polymorphs in meV/atom: 97
Electronic total energy in eV/atom: -5.788
DOS(E_F) in states/eV per cell: 34.302
E_form in meV per atom: -19
Crystal system: trigonal

Cell: 9.2433 9.2433 10.1968 Å, 90.00 90.00 120.00°
With the nearest neighbours (Å) after each atom.
Space group R-3 (No. 148, hexagonal axes)
Symmetry-distinct sites (fractional):
Tb (0.0000, 0.0000, 0.0000) (multiplicity 3)  12 Y 3.47-3.65
Y (0.0199, 0.7629, 0.7213) (multiplicity 18)  2 Y 3.19-3.28, 1 In 3.21, 1 Tb 3.47
In (0.0000, 0.0000, 0.5000) (multiplicity 3)  6 Y 3.21